No. 1
Entry from Alexandria via LeMat-Bulk: a geometry-optimized YMn2Re structure (PBE).

## Properties
Relative energy among the computed polymorphs, meV per atom: 276
V, Å³/f.u.: 71
Formation energy from the elements, meV/atom: 429

Unit cell a=3.2713 b=4.8067 c=9.0197 alpha=90.00 beta=90.00 gamma=90.00
Space group Immm (No. 71)
Asymmetric unit:
Y 0.0000 0.0000 0.0000
Mn 0.0000 0.5000 0.2168
Re 0.0000 0.0000 0.5000


No. 2
Entry from Alexandria via LeMat-Bulk: a geometry-optimized BeNiAs structure (PBE).

## Properties
Relative energy among the computed polymorphs, meV per atom: 377
V, Å³/f.u.: 37
Formation energy from the elements, meV/atom: 133

Unit cell a=3.7516 b=3.7516 c=3.0714 alpha=90.00 beta=90.00 gamma=120.00
Space group P3m1 (No. 156)
Asymmetric unit:
Be 0.0000 0.0000 0.0000
Ni 0.6667 0.3333 0.0018
As 0.3333 0.6667 0.5022


No. 3
Entry from Alexandria via LeMat-Bulk: a geometry-optimized Cu2HgTe2 structure (PBE).

## Properties
Relative energy among the computed polymorphs, meV per atom: 86
V, Å³/f.u.: 121
Raw formation energy, eV per formula unit: 0.2

Unit cell a=5.9590 b=6.7840 c=7.2308 alpha=80.72 beta=66.12 gamma=64.64
Space group P-1 (No. 2)
Asymmetric unit:
Cu 0.0883 0.0429 0.2225
Cu 0.1471 0.5336 0.7198
Hg 0.3631 0.2544 0.2677
Te 0.0902 0.7207 0.0596
Te 0.3658 0.7775 0.4362


No. 4
Entry from Alexandria via LeMat-Bulk: a geometry-optimized MgCrRh14 structure (PBE).

## Properties
V, Å³/f.u.: 227
Formation energy from the elements, meV/atom: -75

Unit cell a=5.4225 b=5.4225 c=7.7150 alpha=90.00 beta=90.00 gamma=90.00
Space group P4/mmm (No. 123)
Asymmetric unit:
Mg 0.0000 0.0000 0.0000
Cr 0.5000 0.5000 0.0000
Rh 0.0000 0.0000 0.5000
Rh 0.0000 0.5000 0.0000
Rh 0.0000 0.5000 0.5000
Rh 0.2531 0.2531 0.2505
Rh 0.5000 0.5000 0.5000


No. 5
Entry from Alexandria via LeMat-Bulk: a geometry-optimized Zr2ScCdO structure (PBE).

## Properties
V, Å³/f.u.: 91
Raw formation energy, eV per formula unit: -5.9

Unit cell a=4.5274 b=4.5274 c=4.4247 alpha=90.00 beta=90.00 gamma=90.00
Space group P4/mmm (No. 123)
Asymmetric unit:
Zr 0.0000 0.5000 0.0000
Sc 0.0000 0.0000 0.5000
Cd 0.5000 0.5000 0.5000
O 0.0000 0.0000 0.0000


No. 6
Entry from Alexandria via LeMat-Bulk: a geometry-optimized CaTlSn structure (PBE).

## Properties
Relative energy among the computed polymorphs, meV per atom: 1
V, Å³/f.u.: 91
Formation energy from the elements, meV/atom: -341

Unit cell a=4.0029 b=18.9854 c=4.7692 alpha=90.00 beta=90.00 gamma=90.00
Space group Cmcm (No. 63)
Asymmetric unit:
Ca 0.0000 0.1028 0.2500
Tl 0.0000 0.2826 0.2500
Sn 0.0000 0.4504 0.2500


No. 7
Entry from Alexandria via LeMat-Bulk: a geometry-optimized Cr2SnPd structure (PBE).

## Properties
V, Å³/f.u.: 66
Formation energy from the elements, meV/atom: 755

Unit cell a=7.1346 b=7.1346 c=5.1749 alpha=90.00 beta=90.00 gamma=90.00
Space group I-42d (No. 122)
Asymmetric unit:
Cr 0.2341 0.2500 0.1250
Sn 0.0000 0.0000 0.5000
Pd 0.0000 0.0000 0.0000


No. 8
Entry from Alexandria via LeMat-Bulk: a geometry-optimized NdDyRhAu structure (PBE).

## Properties
Relative energy among the computed polymorphs, meV per atom: 54
V, Å³/f.u.: 92
Formation energy from the elements, meV/atom: -746

Unit cell a=7.1532 b=7.1532 c=7.1532 alpha=90.00 beta=90.00 gamma=90.00
Space group F-43m (No. 216)
Asymmetric unit:
Nd 0.0000 0.0000 0.0000
Dy 0.0000 0.0000 0.5000
Rh 0.2500 0.2500 0.2500
Au 0.2500 0.2500 0.7500


No. 9
Entry from Alexandria via LeMat-Bulk: a geometry-optimized MgO structure (PBE).

## Properties
V, Å³/f.u.: 31
Raw formation energy, eV per formula unit: -5.1

Unit cell a=15.1305 b=8.7183 c=5.6793 alpha=90.00 beta=90.32 gamma=90.00
Space group C2/c (No. 15)
Asymmetric unit:
Mg 0.0662 0.1041 0.4248
Mg 0.1624 0.2217 0.9233
Mg 0.2216 0.3979 0.4236
O 0.0673 0.1079 0.0709
O 0.1597 0.2239 0.5734
O 0.2197 0.4011 0.0739


No. 10
Entry from Alexandria via LeMat-Bulk: a geometry-optimized Ta2CuBr structure (PBE).

## Properties
Relative energy among the computed polymorphs, meV per atom: 404
V, Å³/f.u.: 66
Raw formation energy, eV per formula unit: 2.7

Unit cell a=6.4148 b=6.4148 c=6.4148 alpha=90.00 beta=90.00 gamma=90.00
Space group Fm-3m (No. 225)
Asymmetric unit:
Ta 0.2500 0.2500 0.2500
Cu 0.0000 0.0000 0.0000
Br 0.0000 0.0000 0.5000


No. 11
Entry from Alexandria via LeMat-Bulk: a geometry-optimized Sc2MnSb2 structure (PBE).

## Properties
V, Å³/f.u.: 111
Raw formation energy, eV per formula unit: -2.3

Unit cell a=7.4329 b=7.4329 c=4.0358 alpha=90.00 beta=90.00 gamma=90.00
Space group P4/mbm (No. 127)
Asymmetric unit:
Sc 0.1533 0.3467 0.0000
Mn 0.0000 0.0000 0.5000
Sb 0.1540 0.6540 0.5000


No. 12
Entry from Alexandria via LeMat-Bulk: a geometry-optimized Tb7Nd4Tm structure (PBE).

## Properties
Relative energy among the computed polymorphs, meV per atom: 0
V, Å³/f.u.: 398
Formation energy from the elements, meV/atom: 88

Unit cell a=6.5640 b=6.8615 c=9.1501 alpha=85.49 beta=77.32 gamma=82.31
Space group P-1 (No. 2)
Asymmetric unit:
Tb 0.0000 0.0000 0.0000
Tb 0.1888 0.6058 0.3837
Tb 0.3175 0.1969 0.6398
Tb 0.4895 0.7463 0.0510
Nd 0.1604 0.1163 0.3059
Nd 0.3594 0.6891 0.7184
Tm 0.0000 0.5000 0.0000


No. 13
Entry from Alexandria via LeMat-Bulk: a geometry-optimized Re3Os4 structure (PBE).

## Properties
Relative energy among the computed polymorphs, meV per atom: 488
V, Å³/f.u.: 105
Formation energy from the elements, meV/atom: 563

Unit cell a=3.2701 b=3.2701 c=19.6611 alpha=90.00 beta=90.00 gamma=90.00
Space group I4mm (No. 107)
Asymmetric unit:
Re 0.0000 0.0000 0.0000
Re 0.0000 0.0000 0.1453
Re 0.0000 0.0000 0.4313
Os 0.0000 0.0000 0.2893
Os 0.0000 0.0000 0.5757
Os 0.0000 0.0000 0.7163
Os 0.0000 0.0000 0.8557


No. 14
Entry from Alexandria via LeMat-Bulk: a geometry-optimized CrCu4Pd7 structure (PBE).

## Properties
V, Å³/f.u.: 172
Formation energy from the elements, meV/atom: -50

Unit cell a=7.4699 b=4.3199 c=10.6301 alpha=90.00 beta=90.13 gamma=90.00
Space group C2/m (No. 12)
Asymmetric unit:
Cr 0.0000 0.0000 0.0000
Cu 0.1667 0.5000 0.5917
Cu 0.1666 0.5000 0.8305
Pd 0.0000 0.0000 0.2391
Pd 0.0000 0.0000 0.5000
Pd 0.1667 0.5000 0.0825
Pd 0.1666 0.5000 0.3475


No. 15
Entry from Alexandria via LeMat-Bulk: a geometry-optimized InTe5 structure (PBE).

## Properties
Relative energy among the computed polymorphs, meV per atom: 139
V, Å³/f.u.: 191
Raw formation energy, eV per formula unit: 0.5

Unit cell a=7.1735 b=7.1735 c=4.2747 alpha=90.00 beta=90.00 gamma=120.00
Space group P-62m (No. 189)
Asymmetric unit:
In 0.0000 0.0000 0.0000
Te 0.0000 0.6651 0.5000
Te 0.3333 0.6667 0.0000


No. 16
Entry from Alexandria via LeMat-Bulk: a geometry-optimized InTcS structure (PBE).

## Properties
Relative energy among the computed polymorphs, meV per atom: 96
V, Å³/f.u.: 61
Raw formation energy, eV per formula unit: -0.8

Unit cell a=3.1358 b=14.4521 c=5.3850 alpha=90.00 beta=90.00 gamma=90.00
Space group Imm2 (No. 44)
Asymmetric unit:
In 0.0000 0.0981 0.0000
Tc 0.0000 0.2518 0.6695
S 0.0000 0.3535 0.0119


No. 17
Entry from Alexandria via LeMat-Bulk: a geometry-optimized AcGeSbPd6 structure (PBE).

## Properties
V, Å³/f.u.: 180
Raw formation energy, eV per formula unit: -3.7

Unit cell a=7.2803 b=8.5370 c=11.6132 alpha=90.00 beta=90.00 gamma=90.00
Space group Imma (No. 74)
Asymmetric unit:
Ac 0.0000 0.2500 0.2236
Ge 0.0000 0.0000 0.0000
Sb 0.2500 0.2500 0.7500
Pd 0.0000 0.2500 0.4853
Pd 0.0000 0.2500 0.9097
Pd 0.1987 0.0020 0.6185


No. 18
Entry from Alexandria via LeMat-Bulk: a geometry-optimized SrPmSnGe structure (PBE).

## Properties
V, Å³/f.u.: 115
Formation energy from the elements, meV/atom: -473

Unit cell a=7.7180 b=7.7180 c=7.7180 alpha=90.00 beta=90.00 gamma=90.00
Space group F-43m (No. 216)
Asymmetric unit:
Sr 0.0000 0.0000 0.0000
Pm 0.0000 0.0000 0.5000
Sn 0.2500 0.2500 0.2500
Ge 0.2500 0.2500 0.7500


No. 19
Entry from Alexandria via LeMat-Bulk: a geometry-optimized Sc2SiBr structure (PBE).

## Properties
Relative energy among the computed polymorphs, meV per atom: 163
V, Å³/f.u.: 89
Raw formation energy, eV per formula unit: -3.0

Unit cell a=3.2059 b=3.6541 c=7.5940 alpha=90.00 beta=90.00 gamma=90.00
Space group Pmmm (No. 47)
Asymmetric unit:
Sc 0.0000 0.0000 0.1964
Si 0.5000 0.5000 0.0000
Br 0.5000 0.0000 0.5000


No. 20
Entry from Alexandria via LeMat-Bulk: a geometry-optimized ZrNpRuRh structure (PBE).

## Properties
V, Å³/f.u.: 74
Formation energy from the elements, meV/atom: -338

Unit cell a=6.6778 b=6.6778 c=6.6778 alpha=90.00 beta=90.00 gamma=90.00
Space group F-43m (No. 216)
Asymmetric unit:
Zr 0.0000 0.0000 0.0000
Np 0.0000 0.0000 0.5000
Ru 0.2500 0.2500 0.2500
Rh 0.2500 0.2500 0.7500


No. 21
Entry from Alexandria via LeMat-Bulk: a geometry-optimized La2Mg6Ag structure (PBE).

## Properties
V, Å³/f.u.: 235
Formation energy from the elements, meV/atom: -129

Unit cell a=11.3951 b=7.2613 c=5.7355 alpha=90.00 beta=98.77 gamma=90.00
Space group C2/m (No. 12)
Asymmetric unit:
La 0.1853 0.0000 0.2955
Mg 0.0832 0.2088 0.7754
Mg 0.1473 0.5000 0.1612
Ag 0.0000 0.5000 0.5000


No. 22
Entry from Alexandria via LeMat-Bulk: a geometry-optimized TaMnCd structure (PBE).

## Properties
Relative energy among the computed polymorphs, meV per atom: 15
V, Å³/f.u.: 53
Formation energy from the elements, meV/atom: 256

Unit cell a=2.8439 b=2.8439 c=13.0161 alpha=90.00 beta=90.00 gamma=90.00
Space group I4mm (No. 107)
Asymmetric unit:
Ta 0.0000 0.0000 0.0000
Mn 0.0000 0.0000 0.3507
Cd 0.0000 0.0000 0.6836


No. 23
Entry from Alexandria via LeMat-Bulk: a geometry-optimized SiAg6HgSe6 structure (PBE).

## Properties
V, Å³/f.u.: 340
Raw formation energy, eV per formula unit: -2.6

Unit cell a=8.0253 b=7.8652 c=10.7627 alpha=90.00 beta=90.00 gamma=90.00
Space group Pmn2_1 (No. 31)
Asymmetric unit:
Si 0.0000 0.2438 0.0000
Ag 0.0000 0.7392 0.0082
Ag 0.0000 0.8765 0.5136
Ag 0.1875 0.1069 0.3486
Ag 0.2371 0.4112 0.6868
Hg 0.0000 0.5131 0.3865
Se 0.0000 0.0144 0.8679
Se 0.0000 0.2550 0.5291
Se 0.0000 0.4706 0.8659
Se 0.0000 0.7870 0.2523
Se 0.2334 0.2555 0.1255